# GdDy2Se, optimized geometry, DFT GGA-PBE
data_GdDy2Se
_symmetry_space_group_name_H-M 'P 4/m m m'
_symmetry_Int_Tables_number 123
_symmetry_space_group_name_Hall '-P 4 2'
_cell_length_a 3.603
_cell_length_b 3.603
_cell_length_c 8.502
_cell_angle_alpha 90.00
_cell_angle_beta 90.00
_cell_angle_gamma 90.00
loop_
_atom_site_label
_atom_site_type_symbol
_atom_site_fract_x
_atom_site_fract_y
_atom_site_fract_z
Gd1 Gd 0.000 0.000 0.000
Dy1 Dy 0.500 0.500 0.293
Se1 Se 0.000 0.000 0.500
# Polymorph energy (0 for the lowest one) = 0.000 eV per atom
# ΔE_f (raw) = -679 meV per atom

---

# Ca2Mg2Hg3, optimized geometry, DFT GGA-PBE
data_Ca2Mg2Hg3
_symmetry_space_group_name_H-M 'C m m m'
_symmetry_Int_Tables_number 65
_symmetry_space_group_name_Hall '-C 2 2'
_cell_length_a 3.727
_cell_length_b 26.970
_cell_length_c 3.575
_cell_angle_alpha 90.00
_cell_angle_beta 90.00
_cell_angle_gamma 90.00
loop_
_atom_site_label
_atom_site_type_symbol
_atom_site_fract_x
_atom_site_fract_y
_atom_site_fract_z
Ca1 Ca 0.000 0.073 0.000
Mg1 Mg 0.000 0.204 0.000
Hg1 Hg 0.000 0.353 0.500
Hg2 Hg 0.000 0.500 0.500
# ΔH_f (0 K) = -0.348 eV/atom

---

# SrMgP2Pd5, optimized geometry, DFT GGA-PBE
data_SrMgP2Pd5
_symmetry_space_group_name_H-M 'P 4/m m m'
_symmetry_Int_Tables_number 123
_symmetry_space_group_name_Hall '-P 4 2'
_cell_length_a 4.365
_cell_length_b 4.365
_cell_length_c 9.388
_cell_angle_alpha 90.00
_cell_angle_beta 90.00
_cell_angle_gamma 90.00
loop_
_atom_site_label
_atom_site_type_symbol
_atom_site_fract_x
_atom_site_fract_y
_atom_site_fract_z
Sr1 Sr 0.000 0.000 0.000
Mg1 Mg 0.000 0.000 0.500
P1 P 0.500 0.500 0.243
Pd1 Pd 0.000 0.500 0.328
Pd2 Pd 0.500 0.500 0.000
# ΔH_f (0 K) = -0.604 eV/atom

---

# SrAcAu4, optimized geometry, DFT GGA-PBE
data_SrAcAu4
_symmetry_space_group_name_H-M 'C 1 2/m 1'
_symmetry_Int_Tables_number 12
_symmetry_space_group_name_Hall '-C 2y'
_cell_length_a 5.980
_cell_length_b 5.775
_cell_length_c 9.382
_cell_angle_alpha 90.00
_cell_angle_beta 99.32
_cell_angle_gamma 90.00
loop_
_atom_site_label
_atom_site_type_symbol
_atom_site_fract_x
_atom_site_fract_y
_atom_site_fract_z
Sr1 Sr 0.000 0.000 0.000
Ac1 Ac 0.000 0.500 0.500
Au1 Au 0.034 0.000 0.661
Au2 Au 0.039 0.500 0.156
# Polymorph energy (0 for the lowest one) = 0.134 eV per atom
# ΔH_f (0 K) = -0.686 eV/atom

---

# LaPm6Dy, optimized geometry, DFT GGA-PBE
data_LaPm6Dy
_symmetry_space_group_name_H-M 'P 4/m m m'
_symmetry_Int_Tables_number 123
_symmetry_space_group_name_Hall '-P 4 2'
_cell_length_a 5.160
_cell_length_b 5.160
_cell_length_c 10.333
_cell_angle_alpha 90.00
_cell_angle_beta 90.00
_cell_angle_gamma 90.00
loop_
_atom_site_label
_atom_site_type_symbol
_atom_site_fract_x
_atom_site_fract_y
_atom_site_fract_z
La1 La 0.000 0.000 0.000
Pm1 Pm 0.000 0.500 0.254
Pm2 Pm 0.500 0.500 0.000
Pm3 Pm 0.500 0.500 0.500
Dy1 Dy 0.000 0.000 0.500
# ΔH_f (0 K) = 0.019 eV/atom

---

# Nb3CuPd4, optimized geometry, DFT GGA-PBE
data_Nb3CuPd4
_symmetry_space_group_name_H-M 'P m n 21'
_symmetry_Int_Tables_number 31
_symmetry_space_group_name_Hall 'P 2ac -2'
_cell_length_a 9.179
_cell_length_b 5.696
_cell_length_c 4.916
_cell_angle_alpha 90.00
_cell_angle_beta 90.00
_cell_angle_gamma 90.00
loop_
_atom_site_label
_atom_site_type_symbol
_atom_site_fract_x
_atom_site_fract_y
_atom_site_fract_z
Nb1 Nb 0.000 0.104 0.000
Nb2 Nb 0.245 0.852 0.177
Cu1 Cu 0.000 0.602 0.004
Pd1 Pd 0.000 0.374 0.497
Pd2 Pd 0.000 0.867 0.514
Pd3 Pd 0.248 0.631 0.682
# ΔH_f (0 K) = -0.177 eV/atom

---

# CePm4Sm, optimized geometry, DFT GGA-PBE
data_CePm4Sm
_symmetry_space_group_name_H-M 'I m m a'
_symmetry_Int_Tables_number 74
_symmetry_space_group_name_Hall '-I 2b 2'
_cell_length_a 6.709
_cell_length_b 11.817
_cell_length_c 10.238
_cell_angle_alpha 90.00
_cell_angle_beta 90.00
_cell_angle_gamma 90.00
loop_
_atom_site_label
_atom_site_type_symbol
_atom_site_fract_x
_atom_site_fract_y
_atom_site_fract_z
Ce1 Ce 0.250 0.250 0.250
Pm1 Pm 0.000 0.007 0.166
Pm2 Pm 0.246 0.250 0.921
Sm1 Sm 0.000 0.000 0.500
# Polymorph energy (0 for the lowest one) = 0.031 eV per atom
# ΔH_f (0 K) = 0.243 eV/atom

---

# Pr2BeGaPt6, optimized geometry, DFT GGA-PBE
data_Pr2BeGaPt6
_symmetry_space_group_name_H-M 'C 1 2/m 1'
_symmetry_Int_Tables_number 12
_symmetry_space_group_name_Hall '-C 2y'
_cell_length_a 10.053
_cell_length_b 5.805
_cell_length_c 7.326
_cell_angle_alpha 90.00
_cell_angle_beta 117.25
_cell_angle_gamma 90.00
loop_
_atom_site_label
_atom_site_type_symbol
_atom_site_fract_x
_atom_site_fract_y
_atom_site_fract_z
Pr1 Pr 0.215 0.000 0.146
Be1 Be 0.000 0.000 0.500
Ga1 Ga 0.000 0.500 0.000
Pt1 Pt 0.020 0.260 0.301
Pt2 Pt 0.240 0.000 0.699
# ΔH_f (0 K) = -0.845 eV/atom

---

# PrU2Ru3, optimized geometry, DFT GGA-PBE
data_PrU2Ru3
_symmetry_space_group_name_H-M 'C m c m'
_symmetry_Int_Tables_number 63
_symmetry_space_group_name_Hall '-C 2c 2'
_cell_length_a 9.651
_cell_length_b 8.121
_cell_length_c 6.717
_cell_angle_alpha 90.00
_cell_angle_beta 90.00
_cell_angle_gamma 90.00
loop_
_atom_site_label
_atom_site_type_symbol
_atom_site_fract_x
_atom_site_fract_y
_atom_site_fract_z
Pr1 Pr 0.000 0.184 0.250
U1 U 0.202 0.500 0.000
Ru1 Ru 0.000 0.420 0.750
Ru2 Ru 0.164 0.153 0.750
# ΔH_f (0 K) = -0.211 eV/atom

---

# Mg3W, optimized geometry, DFT GGA-PBE
data_Mg3W
_symmetry_space_group_name_H-M 'C m m m'
_symmetry_Int_Tables_number 65
_symmetry_space_group_name_Hall '-C 2 2'
_cell_length_a 5.812
_cell_length_b 9.074
_cell_length_c 2.832
_cell_angle_alpha 90.00
_cell_angle_beta 90.00
_cell_angle_gamma 90.00
loop_
_atom_site_label
_atom_site_type_symbol
_atom_site_fract_x
_atom_site_fract_y
_atom_site_fract_z
Mg1 Mg 0.000 0.000 0.000
Mg2 Mg 0.250 0.250 0.500
W1 W 0.000 0.500 0.000
# Polymorph energy (0 for the lowest one) = 0.108 eV per atom
# ΔH_f (0 K) = 0.392 eV/atom

---

# CsAl2Te, optimized geometry, DFT GGA-PBE
data_CsAl2Te
_symmetry_space_group_name_H-M 'I -4 2 d'
_symmetry_Int_Tables_number 122
_symmetry_space_group_name_Hall 'I -4 2bw'
_cell_length_a 9.025
_cell_length_b 9.025
_cell_length_c 7.219
_cell_angle_alpha 90.00
_cell_angle_beta 90.00
_cell_angle_gamma 90.00
loop_
_atom_site_label
_atom_site_type_symbol
_atom_site_fract_x
_atom_site_fract_y
_atom_site_fract_z
Cs1 Cs 0.000 0.000 0.000
Al1 Al 0.190 0.250 0.625
Te1 Te 0.000 0.000 0.500
# ΔE_f (raw) = 157 meV per atom

---

# K2Zn2Si, optimized geometry, DFT GGA-PBE
data_K2Zn2Si
_symmetry_space_group_name_H-M 'P 4/m b m'
_symmetry_Int_Tables_number 127
_symmetry_space_group_name_Hall '-P 4 2ab'
_cell_length_a 6.816
_cell_length_b 6.816
_cell_length_c 5.632
_cell_angle_alpha 90.00
_cell_angle_beta 90.00
_cell_angle_gamma 90.00
loop_
_atom_site_label
_atom_site_type_symbol
_atom_site_fract_x
_atom_site_fract_y
_atom_site_fract_z
K1 K 0.187 0.313 0.000
Zn1 Zn 0.137 0.637 0.500
Si1 Si 0.000 0.000 0.500
# Polymorph energy (0 for the lowest one) = 0.095 eV per atom
# ΔE_f (raw) = 165 meV per atom

---

Electronic total energy for every record listed, in sequence, given in eV per atom: -7.37, -1.50, -5.06, -3.84, -4.73, -7.06, -4.70, -6.10, -9.41, -4.04, -2.71, -1.87.